[1]
4
Lattice="5.431 2.963 0.008 -5.431 2.963 0.008 0.000 1.945 2.842" Properties=species:S:1:pos:R:3 comment="PBE In2RhPb, optimized geometry" spacegroup="No. 12" dos_ef_per_ev_fu=3.0 formation_energy_ev_per_atom=0.192 pbc="T T T"
In -2.716 1.482 0.004
In 2.716 1.482 0.004
Rh 0.000 2.963 0.008
Pb 0.000 0.000 0.000

***

[2]
12
Lattice="-3.028 1.997 1.920 -5.246 -2.310 -5.870 0.939 -7.620 5.021" Properties=species:S:1:pos:R:3 comment="PBE TbDy2Er3As6, optimized geometry" spacegroup="No. 12" dos_ef_per_ev_fu=1.8 formation_energy_ev_per_atom=-1.529 pbc="T T T"
Tb -1.514 0.999 0.960
Dy -5.395 -4.955 1.033
Dy -1.941 -2.979 0.038
Er -4.137 -0.157 -1.975
Er -2.773 -3.802 3.968
Er -4.562 -4.131 -2.898
As -5.198 -6.524 -1.411
As -4.772 -2.552 -0.484
As -2.137 -1.409 2.482
As -3.412 -6.200 5.454
As -3.924 -1.734 -4.384
As -2.564 -5.381 1.554